1.
Material: Tl5Ru
Method: DFT, GGA-PBE
State: relaxed

## Properties
- Volume: 31.01 Å³/atom
- Size of the total moment: 2.2 μB/f.u.
- Excess energy over the best structure of this formula in the dataset: 599 meV per atom
- E_form: 0.8536 eV per atom

```
Tl5Ru
1.0
-0.307 5.389 -2.646
-3.746 -4.392 -1.680
-3.928 1.785 4.091
Tl Ru
5 1
Direct
0.000 0.500 0.500 Tl
0.500 0.500 0.500 Tl
0.667 0.333 0.000 Tl
0.333 0.667 0.000 Tl
0.500 0.000 0.500 Tl
0.000 0.000 0.000 Ru
```

---

2.
Material: Tl2Ru
Method: DFT, GGA-PBE
State: relaxed

## Properties
- Volume: 25.15 Å³/atom
- Size of the total moment: 2.2 μB/f.u.
- E_form: 1.3566 eV per atom

```
Tl2Ru
1.0
-1.171 -5.684 -1.427
-5.216 -1.428 -2.542
-0.171 -1.666 -5.736
Tl Ru
4 2
Direct
0.625 0.125 0.125 Tl
0.125 0.625 0.125 Tl
0.125 0.125 0.625 Tl
0.125 0.125 0.125 Tl
0.750 0.750 0.750 Ru
0.500 0.500 0.500 Ru
```

---

3.
Material: TlRu4
Method: DFT, GGA-PBE
State: relaxed

## Properties
- Volume: 17.06 Å³/atom
- Size of the total moment: 0.0 μB/f.u.
- Excess energy over the best structure of this formula in the dataset: 104 meV per atom
- E_form: 0.5494 eV per atom

```
TlRu4
1.0
-1.917 1.917 5.801
1.917 -1.917 5.801
1.917 1.917 -5.801
Ru Tl
4 1
Direct
0.397 0.397 0.000 Ru
0.750 0.250 0.500 Ru
0.250 0.750 0.500 Ru
0.603 0.603 0.000 Ru
0.000 0.000 0.000 Tl
```

---

4.
Material: Tl3Ru
Method: DFT, GGA-PBE
State: relaxed

## Properties
- Volume: 23.61 Å³/atom
- Size of the total moment: 0.6 μB/f.u.
- Excess energy over the best structure of this formula in the dataset: 423 meV per atom
- E_form: 0.6646 eV per atom

```
Tl3Ru
1.0
5.653 -0.002 -0.005
-2.449 5.095 -0.005
-2.449 -3.893 3.287
Tl Ru
3 1
Direct
0.500 0.500 0.000 Tl
0.000 0.500 0.500 Tl
0.500 0.000 0.500 Tl
0.000 0.000 0.000 Ru
```

---

5.
Material: TlRu5
Method: DFT, GGA-PBE
State: relaxed

## Properties
- Volume: 15.30 Å³/atom
- Size of the total moment: 0.0 μB/f.u.
- Excess energy over the best structure of this formula in the dataset: 39 meV per atom
- E_form: 0.3621 eV per atom

```
TlRu5
1.0
4.876 1.980 3.524
-5.401 -3.307 0.103
1.974 -3.251 -0.905
Ru Tl
5 1
Direct
0.678 0.322 0.500 Ru
0.000 0.000 0.500 Ru
0.180 0.820 0.000 Ru
0.322 0.678 0.500 Ru
0.820 0.180 0.000 Ru
0.500 0.500 0.000 Tl
```

---

6.
Material: Tl2Ru
Method: DFT, GGA-PBE
State: relaxed

## Properties
- Volume: 23.23 Å³/atom
- Size of the total moment: 0.5 μB/f.u.
- E_form: 0.4566 eV per atom

```
Tl2Ru
1.0
5.605 6.848 3.723
-7.834 -4.782 -2.816
-0.229 -2.068 4.148
Ru Tl
2 4
Direct
0.061 0.939 0.250 Ru
0.939 0.061 0.750 Ru
0.569 0.431 0.750 Tl
0.306 0.694 0.750 Tl
0.431 0.569 0.250 Tl
0.694 0.306 0.250 Tl
```

---

7.
Material: TlRu7
Method: DFT, GGA-PBE
State: relaxed

## Properties
- Volume: 14.88 Å³/atom
- Size of the total moment: 0.0 μB/f.u.
- E_form: 0.4539 eV per atom

```
TlRu7
1.0
0.000 3.905 3.905
3.905 0.000 3.905
3.905 3.905 0.000
Ru Tl
7 1
Direct
0.000 0.500 0.000 Ru
0.000 0.000 0.500 Ru
0.500 0.000 0.000 Ru
0.000 0.500 0.500 Ru
0.500 0.500 0.000 Ru
0.500 0.500 0.500 Ru
0.500 0.000 0.500 Ru
0.000 0.000 0.000 Tl
```

---

8.
Material: Tm6TlRu2
Method: DFT, GGA-PBE
State: relaxed

## Properties
- Volume: 25.04 Å³/atom
- Size of the total moment: 0.0 μB/f.u.
- E_form: -0.3829 eV per atom

```
Tm6TlRu2
1.0
-3.188 7.399 2.344
3.312 -4.337 6.374
6.457 0.855 -5.290
Tm Ru Tl
12 4 2
Direct
0.312 0.980 0.667 Tm
0.792 0.241 0.033 Tm
0.312 0.645 0.333 Tm
0.792 0.759 0.552 Tm
0.208 0.759 0.967 Tm
0.208 0.241 0.448 Tm
0.528 0.711 0.818 Tm
0.688 0.020 0.333 Tm
0.107 0.289 0.818 Tm
0.472 0.289 0.182 Tm
0.688 0.355 0.667 Tm
0.893 0.711 0.182 Tm
0.328 0.000 0.328 Ru
0.500 0.368 0.868 Ru
0.500 0.632 0.132 Ru
0.672 0.000 0.672 Ru
0.000 0.500 0.500 Tl
0.000 0.000 0.000 Tl
```